An optimized crystal structure of LiFePO4, computed with PBE with a Hubbard U.

CIF file:
```
data_LiFePO4
_space_group_name_H-M_alt 'C 1 2 1'
_space_group_IT_number 5
_cell_length_a 9.597
_cell_length_b 4.966
_cell_length_c 6.353
_cell_angle_alpha 90.00
_cell_angle_beta 93.20
_cell_angle_gamma 90.00
loop_
_space_group_symop_operation_xyz
'x,y,z'
'-x,y,-z'
'x+1/2,y+1/2,z'
'-x+1/2,y+1/2,-z'
loop_
_atom_site_label
_atom_site_fract_x
_atom_site_fract_y
_atom_site_fract_z
_atom_site_occupancy
Li1 0.179 0.000 0.244 1
Fe1 0.000 0.461 0.000 1
Fe2 0.000 0.477 0.500 1
P1 0.187 0.003 0.743 1
O1 0.133 0.138 0.940 1
O2 0.136 0.146 0.538 1
O3 0.139 0.702 0.736 1
O4 0.148 0.546 0.243 1
```

**N(E_F)**: 0.000 states/eV/atom
**VASP energy**: -47.2 eV/f.u.
**ΔE to the lowest computed polymorph**: 92 meV per atom
**Total moment**: 16.000 μB/cell